DFT (meta-GGA SCAN) results for a crystal of CrInW2 relaxed with PBEsol.

Output
The space group is Immm (71). Its total energy is -189.8 eV/f.u. The density of states at the Fermi level is 1.56 states/eV/f.u.

Cell and atoms, written as POSCAR:
```
CrInW2
1.0
-1.5716 2.2036 4.4783
1.5716 -2.2036 4.4783
1.5716 2.2036 -4.4783
Cr In W
1 1 2
Cartesian
0.0000 0.0000 0.0000
0.0000 0.0000 4.4783
1.5716 0.0000 2.0833
0.0000 2.2036 2.3950
```

***

DFT (meta-GGA SCAN) results for a crystal of Ca2AlCd relaxed with PBEsol.

Output
The space group is P4/mmm (123). Its total energy is -58.7 eV/f.u. The density of states at the Fermi level is 1.92 states/eV/f.u.

Cell and atoms, written as POSCAR:
```
Ca2AlCd
1.0
3.6935 0.0000 0.0000
0.0000 3.6935 0.0000
0.0000 0.0000 7.5749
Ca Al Cd
2 1 1
Cartesian
0.0000 0.0000 1.8616
0.0000 0.0000 5.7133
1.8467 1.8467 0.0000
1.8467 1.8467 3.7875
```

***

Question: The lowest total energy belongs to which entry?
Answer: CrInW2